3
Lattice="4.8744 0.0000 0.0000 2.4372 4.2213 0.0000 2.4372 1.4071 3.9799" Properties=species:S:1:pos:R:3 comment="GGA-PBE NdZnPb, optimized geometry" dft_energy_ev_per_atom=-3.559 ef_ev_per_atom=-0.309 pbc="T T T"
Zn 2.4372 1.4071 0.9950
Pb 0.0000 0.0000 0.0000
Nd 4.8744 2.8142 1.9900